First-principles (meta-GGA SCAN) data for a PBEsol-optimized structure of KCdMo2, as listed in the Alexandria database.

Symmetry: No. 8
Electronic total energy (eV per atom): -26.282
DOS(E_F) (states/eV per atom): 0.838

Cell: 2.6433 4.6217 7.7234 Å, 91.01 90.00 106.62°
Closest atoms and distances in Å follow each position.
Positions (direct):
1 Mo 0.2410 0.4819 0.7756  3 Mo 2.45-2.64
2 Mo 0.9963 0.9926 0.9179  3 Mo 2.45-2.64
3 Cd 0.5074 0.0149 0.5665  2 Cd 2.64, 3 Mo 2.88-2.92
4 K 0.7553 0.5105 0.2400  2 K 2.64



First-principles (meta-GGA SCAN) data for a PBEsol-optimized structure of Li2AlMo, as listed in the Alexandria database.

Symmetry: No. 99
Electronic total energy (eV per atom): -11.820
DOS(E_F) (states/eV per atom): 0.531

Cell: 2.6580 2.6580 8.9242 Å, 90.00 90.00 90.00°
Closest atoms and distances in Å follow each position.
Positions (direct):
1 Al 0.5000 0.5000 0.7409  4 Al 2.66, 4 Mo 2.76, 4 Li 2.84
2 Mo 0.0000 0.0000 0.5146  4 Mo 2.66, 4 Al 2.76, 4 Li 2.92
3 Li 0.5000 0.5000 0.2648  4 Li 2.66, 4 Mo 2.92
4 Li 0.0000 0.0000 0.9796  4 Li 2.66, 4 Al 2.84



First-principles (meta-GGA SCAN) data for a PBEsol-optimized structure of NiP2Cl, as listed in the Alexandria database.

Symmetry: No. 216
Raw formation energy (eV/atom): 0.777
Electronic total energy (eV per atom): -10.460
Relative energy among the computed polymorphs (meV/atom): 533.1
DOS(E_F) (states/eV per atom): 0.742

Cell: 4.2729 4.2729 4.2729 Å, 60.00 60.00 60.00°
Closest atoms and distances in Å follow each position.
Positions (direct):
1 P 0.0000 0.0000 0.0000  4 Ni 2.62, 4 P 2.62
2 P 0.7500 0.7500 0.7500  4 Cl 2.62, 4 P 2.62
3 Ni 0.2500 0.2500 0.2500  4 Cl 2.62, 4 P 2.62
4 Cl 0.5000 0.5000 0.5000  4 P 2.62, 4 Ni 2.62



First-principles (meta-GGA SCAN) data for a PBEsol-optimized structure of CoRePb, as listed in the Alexandria database.

Symmetry: No. 216
Electronic total energy (eV per atom): -53.839
DOS(E_F) (states/eV per atom): 0.536

Cell: 4.1733 4.1733 4.1733 Å, 60.00 60.00 60.00°
Closest atoms and distances in Å follow each position.
Positions (direct):
1 Co 0.2500 0.2500 0.2500  4 Pb 2.56, 4 Re 2.56
2 Re 0.5000 0.5000 0.5000  4 Co 2.56
3 Pb 0.0000 0.0000 0.0000  4 Co 2.56



First-principles (meta-GGA SCAN) data for a PBEsol-optimized structure of CaRuW2, as listed in the Alexandria database.

Symmetry: No. 12
Electronic total energy (eV per atom): -45.256
Relative energy among the computed polymorphs (meV/atom): 228.4
DOS(E_F) (states/eV per atom): 0.867

Cell: 2.7283 5.2221 5.4242 Å, 115.45 98.78 101.85°
Closest atoms and distances in Å follow each position.
Positions (direct):
1 W 0.5000 0.5000 0.5000  4 W 2.69-2.73, 2 Ca 2.84, 2 Ru 2.84
2 W 0.0000 0.0000 0.5000  4 W 2.69-2.73, 2 Ru 2.84, 2 Ca 2.84
3 Ru 0.0000 0.5000 0.0000  2 Ca 2.69, 2 Ru 2.73, 4 W 2.84
4 Ca 0.5000 0.0000 0.0000  2 Ru 2.69, 2 Ca 2.73, 4 W 2.84



First-principles (meta-GGA SCAN) data for a PBEsol-optimized structure of InAg3, as listed in the Alexandria database.

Symmetry: No. 221
Electronic total energy (eV per atom): -30.990
DOS(E_F) (states/eV per atom): 0.458

Cell: 5.2038 5.2038 5.2038 Å, 90.00 90.00 90.00°
Closest atoms and distances in Å follow each position.
Positions (direct):
1 Ag 0.0000 0.5000 0.0000  2 In 2.60
2 Ag 0.5000 0.0000 0.0000  2 In 2.60
3 Ag 0.0000 0.0000 0.5000  2 In 2.60
4 In 0.0000 0.0000 0.0000  6 Ag 2.60